1.
Crystalline Al2HS at its relaxed geometry. Source: Alexandria via LeMat-Bulk, functional PBE.

Calculated values
- total DFT energy (no corrections) (eV per atom) = -3.419
- density of states at the Fermi level (states/eV per atom) = 0.55

Geometry as CIF:
```
data_Al2HS
_cell_length_a 6.119
_cell_length_b 6.119
_cell_length_c 6.119
_cell_angle_alpha 90.00
_cell_angle_beta 90.00
_cell_angle_gamma 90.00
_symmetry_space_group_name_H-M 'F m -3 m'
_symmetry_Int_Tables_number 225
_symmetry_space_group_name_Hall '-F 4 2 3'
loop_
_atom_site_label
_atom_site_fract_x
_atom_site_fract_y
_atom_site_fract_z
Al1 0.250 0.250 0.250
H1 0.000 0.000 0.000
S1 0.000 0.000 0.500
```

=====

2.
Crystalline Al2H6S at its relaxed geometry. Source: Alexandria via LeMat-Bulk, functional PBE.

Calculated values
- total DFT energy (no corrections) (eV per atom) = -2.794
- density of states at the Fermi level (states/eV per atom) = 0.24

Geometry as CIF:
```
data_Al2H6S
_cell_length_a 7.088
_cell_length_b 7.088
_cell_length_c 7.088
_cell_angle_alpha 90.00
_cell_angle_beta 90.00
_cell_angle_gamma 90.00
_symmetry_space_group_name_H-M 'F m -3 m'
_symmetry_Int_Tables_number 225
_symmetry_space_group_name_Hall '-F 4 2 3'
loop_
_atom_site_label
_atom_site_fract_x
_atom_site_fract_y
_atom_site_fract_z
Al1 0.250 0.250 0.250
H1 0.000 0.000 0.219
S1 0.000 0.000 0.000
```

=====

3.
Crystalline Al3HS at its relaxed geometry. Source: Alexandria via LeMat-Bulk, functional PBE.

Calculated values
- total DFT energy (no corrections) (eV per atom) = -2.749
- density of states at the Fermi level (states/eV per atom) = 0.51

Geometry as CIF:
```
data_Al3HS
_cell_length_a 4.869
_cell_length_b 4.869
_cell_length_c 4.869
_cell_angle_alpha 90.00
_cell_angle_beta 90.00
_cell_angle_gamma 90.00
_symmetry_space_group_name_H-M 'P m -3 m'
_symmetry_Int_Tables_number 221
_symmetry_space_group_name_Hall '-P 4 2 3'
loop_
_atom_site_label
_atom_site_fract_x
_atom_site_fract_y
_atom_site_fract_z
Al1 0.000 0.000 0.500
H1 0.500 0.500 0.500
S1 0.000 0.000 0.000
```

=====

4.
Crystalline Al2HS at its relaxed geometry. Source: Alexandria via LeMat-Bulk, functional PBE.

Calculated values
- total DFT energy (no corrections) (eV per atom) = -3.715
- density of states at the Fermi level (states/eV per atom) = 0.22

Geometry as CIF:
```
data_Al2HS
_cell_length_a 5.247
_cell_length_b 5.247
_cell_length_c 9.045
_cell_angle_alpha 90.00
_cell_angle_beta 90.00
_cell_angle_gamma 90.00
_symmetry_space_group_name_H-M 'I -4 2 d'
_symmetry_Int_Tables_number 122
_symmetry_space_group_name_Hall 'I -4 2bw'
loop_
_atom_site_label
_atom_site_fract_x
_atom_site_fract_y
_atom_site_fract_z
Al1 0.176 0.250 0.125
H1 0.000 0.000 0.000
S1 0.000 0.000 0.500
```